Compound: CrGaW2F
Source: Alexandria
Functional: PBE with a Hubbard U
Structure: relaxed

Values from the calculation:
As for the volume: 127.70 Å³/cell. The magnetization comes out at 2.91 μB per cell. As for the density of states at the Fermi level: 1.87 states/eV/cell. As for the raw total energy: -4.076 eV per atom. Its space group is No. 123.

a = 5.140 Å, b = 5.140 Å, c = 4.833 Å
α = 90.00°, β = 90.00°, γ = 90.00°
Atoms (fractional coordinates):
Cr 0.000 0.000 0.000
Ga 0.000 0.000 0.500
W 0.000 0.500 0.000
W 0.500 0.000 0.000
F 0.500 0.500 0.500